[1]
DFT (GGA-PBE) results for LaFe2Hg after structural relaxation.

Structure (CIF):
```
data_LaFe2Hg
_symmetry_space_group_name_H-M 'P 1'
_symmetry_Int_Tables_number 1
_cell_length_a 6.3176
_cell_length_b 6.3176
_cell_length_c 6.3176
_cell_angle_alpha 37.56
_cell_angle_beta 37.56
_cell_angle_gamma 37.56
loop_
_symmetry_equiv_pos_as_xyz
'x,y,z'
loop_
_atom_site_label
_atom_site_fract_x
_atom_site_fract_y
_atom_site_fract_z
_atom_site_occupancy
Fe1 0.9516 0.9516 0.9516 1
Fe2 0.2818 0.2818 0.2818 1
Hg1 0.5335 0.5335 0.5335 1
La1 0.7331 0.7331 0.7331 1
```

Summary:
formation enthalpy at 0 K: 0.093 eV per atom
final energy: -5.445 eV per atom
density of states at the Fermi level: 2.67 states/eV/f.u.

[2]
DFT (GGA-PBE) results for Ac5Mg4Al after structural relaxation.

Structure (CIF):
```
data_Ac5Mg4Al
_symmetry_space_group_name_H-M 'P 1'
_symmetry_Int_Tables_number 1
_cell_length_a 4.0704
_cell_length_b 4.0704
_cell_length_c 20.5659
_cell_angle_alpha 90.00
_cell_angle_beta 90.00
_cell_angle_gamma 90.00
loop_
_symmetry_equiv_pos_as_xyz
'x,y,z'
loop_
_atom_site_label
_atom_site_fract_x
_atom_site_fract_y
_atom_site_fract_z
_atom_site_occupancy
Ac1 0.5000 0.5000 0.0912 1
Ac2 0.5000 0.5000 0.2970 1
Ac3 0.5000 0.5000 0.5000 1
Ac4 0.5000 0.5000 0.7030 1
Ac5 0.5000 0.5000 0.9088 1
Mg1 0.0000 0.0000 0.1961 1
Mg2 0.0000 0.0000 0.3985 1
Mg3 0.0000 0.0000 0.6015 1
Mg4 0.0000 0.0000 0.8039 1
Al1 0.0000 0.0000 0.0000 1
```

Summary:
formation enthalpy at 0 K: -0.108 eV per atom
final energy: -3.174 eV per atom
density of states at the Fermi level: 10.49 states/eV/f.u.

[3]
DFT (GGA-PBE) results for Ir2RhSe after structural relaxation.

Structure (CIF):
```
data_Ir2RhSe
_symmetry_space_group_name_H-M 'P 1'
_symmetry_Int_Tables_number 1
_cell_length_a 4.6647
_cell_length_b 4.6647
_cell_length_c 2.8107
_cell_angle_alpha 90.00
_cell_angle_beta 90.00
_cell_angle_gamma 90.00
loop_
_symmetry_equiv_pos_as_xyz
'x,y,z'
loop_
_atom_site_label
_atom_site_fract_x
_atom_site_fract_y
_atom_site_fract_z
_atom_site_occupancy
Ir1 0.0000 0.0000 0.0000 1
Ir2 0.5000 0.5000 0.0000 1
Rh1 0.5000 0.0000 0.5000 1
Se1 0.0000 0.5000 0.5000 1
```

Summary:
final energy: -6.671 eV per atom
density of states at the Fermi level: 5.94 states/eV/f.u.
E_form (uncorrected): 0.4687 eV per atom

[4]
DFT (GGA-PBE) results for Be4RuRh3 after structural relaxation.

Structure (CIF):
```
data_Be4RuRh3
_symmetry_space_group_name_H-M 'P 1'
_symmetry_Int_Tables_number 1
_cell_length_a 2.7845
_cell_length_b 2.7845
_cell_length_c 11.1679
_cell_angle_alpha 90.00
_cell_angle_beta 90.00
_cell_angle_gamma 90.00
loop_
_symmetry_equiv_pos_as_xyz
'x,y,z'
loop_
_atom_site_label
_atom_site_fract_x
_atom_site_fract_y
_atom_site_fract_z
_atom_site_occupancy
Be1 0.0000 0.0000 0.8702 1
Be2 0.0000 0.0000 0.1298 1
Be3 0.0000 0.0000 0.3756 1
Be4 0.0000 0.0000 0.6244 1
Rh1 0.5000 0.5000 0.2498 1
Rh2 0.5000 0.5000 0.5000 1
Rh3 0.5000 0.5000 0.7502 1
Ru1 0.5000 0.5000 0.0000 1
```

Summary:
formation enthalpy at 0 K: -0.505 eV per atom
final energy: -6.284 eV per atom
density of states at the Fermi level: 6.82 states/eV/f.u.

[5]
DFT (GGA-PBE) results for TaIn2Rh after structural relaxation.

Structure (CIF):
```
data_TaIn2Rh
_symmetry_space_group_name_H-M 'P 1'
_symmetry_Int_Tables_number 1
_cell_length_a 3.0522
_cell_length_b 3.0522
_cell_length_c 8.4707
_cell_angle_alpha 90.00
_cell_angle_beta 90.00
_cell_angle_gamma 90.00
loop_
_symmetry_equiv_pos_as_xyz
'x,y,z'
loop_
_atom_site_label
_atom_site_fract_x
_atom_site_fract_y
_atom_site_fract_z
_atom_site_occupancy
Ta1 0.5000 0.5000 0.7145 1
In1 0.0000 0.0000 0.9707 1
In2 0.5000 0.5000 0.2935 1
Rh1 0.0000 0.0000 0.5213 1
```

Summary:
formation enthalpy at 0 K: -0.087 eV per atom
final energy: -6.257 eV per atom
density of states at the Fermi level: 3.98 states/eV/f.u.

[6]
DFT (GGA-PBE) results for TmMnCuPt after structural relaxation.

Structure (CIF):
```
data_TmMnCuPt
_symmetry_space_group_name_H-M 'P 1'
_symmetry_Int_Tables_number 1
_cell_length_a 4.6198
_cell_length_b 4.6198
_cell_length_c 4.6198
_cell_angle_alpha 60.00
_cell_angle_beta 60.00
_cell_angle_gamma 60.00
loop_
_symmetry_equiv_pos_as_xyz
'x,y,z'
loop_
_atom_site_label
_atom_site_fract_x
_atom_site_fract_y
_atom_site_fract_z
_atom_site_occupancy
Mn1 0.7500 0.7500 0.7500 1
Tm1 0.2500 0.2500 0.2500 1
Cu1 0.0000 0.0000 0.0000 1
Pt1 0.5000 0.5000 0.5000 1
```

Summary:
formation enthalpy at 0 K: -0.446 eV per atom
final energy: -6.391 eV per atom
density of states at the Fermi level: 2.05 states/eV/f.u.

Among the records above, which one has the highest final energy? Ac5Mg4Al